Run 1
Density functional theory data (PBE-GGA) for a relaxed TbYP2 crystal.

Properties
- space group = No. 160
- spin magnetization (μB per formula unit) = 0.00

a = 3.9828 Å, b = 3.9828 Å, c = 7.2173 Å
α = 73.98°, β = 73.98°, γ = 60.00°
Fractional positions:
Tb: 0.6692 0.6692 0.9925
Y: 0.4977 0.4977 0.5069
P: 0.0824 0.0824 0.7529
P: 0.2508 0.2508 0.2477

Run 2
Density functional theory data (PBE-GGA) for a relaxed TbYP2 crystal.

Properties
- space group = No. 166
- spin magnetization (μB per formula unit) = 0.00

a = 4.0225 Å, b = 4.0225 Å, c = 6.9618 Å
α = 73.19°, β = 73.19°, γ = 60.02°
Fractional positions:
Tb: 0.0000 0.0000 0.0000
Y: 0.5000 0.5000 0.5000
P: 0.7503 0.7503 0.7494
P: 0.2497 0.2497 0.2506

The data favor run 2; the next most stable structure lies 171 meV/atom above it.

Run 1
Density functional theory data (PBE-GGA) for a relaxed Tb2ZnP crystal.

Properties
- space group = No. 160
- spin magnetization (μB per formula unit) = 0.00

a = 3.9700 Å, b = 3.9700 Å, c = 7.6194 Å
α = 74.90°, β = 74.90°, γ = 60.00°
Fractional positions:
Tb: 0.0718 0.0718 0.7845
Tb: 0.2621 0.2621 0.2136
Zn: 0.4993 0.4993 0.5022
P: 0.6668 0.6668 0.9997

Run 2
Density functional theory data (PBE-GGA) for a relaxed Tb2ZnP crystal.

Properties
- space group = No. 166
- spin magnetization (μB per formula unit) = 0.00

a = 3.9777 Å, b = 3.9777 Å, c = 7.5099 Å
α = 74.64°, β = 74.64°, γ = 60.00°
Fractional positions:
P: 0.0000 0.0000 0.0000
Zn: 0.5000 0.5000 0.5000
Tb: 0.2603 0.2603 0.2190
Tb: 0.7397 0.7397 0.7810

The data favor run 2; the next most stable structure lies 56 meV/atom above it.

Run 1
Density functional theory data (PBE-GGA) for a relaxed TbZrP2 crystal.

Properties
- space group = No. 12
- spin magnetization (μB per formula unit) = 0.00

a = 3.8549 Å, b = 3.8549 Å, c = 6.7650 Å
α = 73.52°, β = 73.52°, γ = 59.94°
Fractional positions:
Tb: 0.5000 0.5000 0.5000
Zr: 0.0000 0.0000 0.0000
P: 0.7449 0.7449 0.7655
P: 0.2551 0.2551 0.2345

Run 2
Density functional theory data (PBE-GGA) for a relaxed TbZrP2 crystal.

Properties
- space group = No. 160
- spin magnetization (μB per formula unit) = 0.00

a = 3.8026 Å, b = 3.8026 Å, c = 7.0320 Å
α = 74.31°, β = 74.31°, γ = 60.00°
Fractional positions:
Tb: 0.4958 0.4958 0.5126
Zr: 0.6705 0.6705 0.9886
P: 0.0770 0.0770 0.7691
P: 0.2568 0.2568 0.2297

The data favor run 1; the next most stable structure lies 123 meV/atom above it.

Run 1
Density functional theory data (PBE-GGA) for a relaxed TcP crystal.

Properties
- space group = No. 8
- spin magnetization (μB per formula unit) = 0.00

a = 5.3579 Å, b = 5.3579 Å, c = 5.6314 Å
α = 86.49°, β = 86.49°, γ = 32.12°
Fractional positions:
Tc: 0.9944 0.9944 0.9407
Tc: 0.0613 0.0613 0.4145
Tc: 0.7253 0.7253 0.0920
P: 0.6424 0.6424 0.7006
P: 0.3960 0.3960 0.2548
P: 0.3472 0.3472 0.7641

Run 2
Density functional theory data (PBE-GGA) for a relaxed TcP crystal.

Properties
- space group = No. 221
- spin magnetization (μB per formula unit) = 0.00

a = 2.9479 Å, b = 2.9479 Å, c = 2.9479 Å
α = 90.00°, β = 90.00°, γ = 90.00°
Fractional positions:
P: 0.5000 0.5000 0.5000
Tc: 0.0000 0.0000 0.0000

The data favor run 2; the next most stable structure lies 167 meV/atom above it.